Entry 1:
Compound: Nd2ErTl4
Source: Alexandria
Functional: PBE-GGA
Structure: relaxed

Values from the calculation:
VASP energy: -3.246 eV/atom

Cell: 5.759 5.759 8.926 Å, 108.82 108.82 90.00°
Sites, in units of the cell vectors:
Nd (0.605, 0.605, 0.209)
Tl (0.807, 0.807, 0.615)
Tl (0.500, 0.000, 0.000)
Nd (0.395, 0.395, 0.791)
Er (0.000, 0.000, 0.000)
Tl (0.000, 0.500, 0.000)
Tl (0.193, 0.193, 0.385)


Entry 2:
Compound: TlBr2O
Source: Alexandria
Functional: PBE-GGA
Structure: relaxed

Values from the calculation:
VASP energy: -2.635 eV/atom
E_form (uncorrected): 33 meV per atom

Cell: 6.367 6.367 7.674 Å, 65.49 65.49 90.00°
Sites, in units of the cell vectors:
Br (0.436, 0.125, 0.250)
Br (0.375, 0.564, 0.750)
Br (0.314, 0.625, 0.250)
Tl (0.000, 0.000, 0.000)
O (0.250, 0.750, 0.500)
O (0.500, 0.500, 0.000)
Br (0.875, 0.686, 0.750)
Tl (0.750, 0.250, 0.500)


Entry 3:
Compound: TlTe2
Source: Alexandria
Functional: PBE-GGA
Structure: relaxed

Values from the calculation:
VASP energy: -2.919 eV/atom
E_form (uncorrected): -35 meV per atom

Cell: 6.363 6.363 6.363 Å, 144.86 129.78 62.77°
Sites, in units of the cell vectors:
Tl (0.000, 0.000, 0.000)
Te (0.624, 0.624, 0.000)
Te (0.376, 0.376, 0.000)


Entry 4:
Compound: TmCdPt2
Source: Alexandria
Functional: PBE-GGA
Structure: relaxed

Values from the calculation:
VASP energy: -5.255 eV/atom

Cell: 3.554 3.554 6.012 Å, 90.00 90.00 90.00°
Sites, in units of the cell vectors:
Pt (0.000, 0.000, 0.755)
Tm (0.500, 0.500, 0.500)
Cd (0.500, 0.500, 0.000)
Pt (0.000, 0.000, 0.245)


Entry 5:
Compound: Mn2Zn2Se
Source: Alexandria
Functional: PBE-GGA
Structure: relaxed

Values from the calculation:
VASP energy: -4.802 eV/atom
E_form (uncorrected): 72 meV per atom

Cell: 6.375 6.375 3.877 Å, 90.00 90.00 90.00°
Site moments in Bohr magnetons follow the coordinates.
Sites, in units of the cell vectors:
Mn (0.153, 0.347, 0.000)  3.08
Zn (0.144, 0.644, 0.500)  -0.09
Mn (0.847, 0.653, 0.000)  3.08
Zn (0.856, 0.356, 0.500)  -0.09
Se (0.000, 0.000, 0.000)  -0.01
Se (0.500, 0.500, 0.000)  -0.01
Mn (0.347, 0.847, 0.000)  3.09
Zn (0.356, 0.144, 0.500)  -0.10
Mn (0.653, 0.153, 0.000)  3.09
Zn (0.644, 0.856, 0.500)  -0.10


Entry 6:
Compound: Pm3Sc2Pb4
Source: Alexandria
Functional: PBE-GGA
Structure: relaxed

Values from the calculation:
VASP energy: -5.042 eV/atom

Cell: 4.678 6.270 9.809 Å, 92.76 90.00 111.90°
Site moments in Bohr magnetons follow the coordinates.
Sites, in units of the cell vectors:
Pb (0.073, 0.146, 0.644)  0.00
Sc (0.318, 0.637, 0.221)  0.04
Pb (0.927, 0.854, 0.356)  0.00
Pb (0.676, 0.351, 0.091)  0.00
Pm (0.636, 0.272, 0.410)  0.07
Pm (0.364, 0.728, 0.590)  0.07
Sc (0.682, 0.363, 0.779)  0.04
Pb (0.324, 0.649, 0.909)  0.00
Pm (0.000, 0.000, 0.000)  0.00


Entry 7:
Compound: HfPt5Rh2
Source: Alexandria
Functional: PBE-GGA
Structure: relaxed

Values from the calculation:
VASP energy: -7.366 eV/atom

Cell: 3.921 5.613 11.425 Å, 90.00 90.00 90.00°
Sites, in units of the cell vectors:
Rh (0.500, 0.252, 0.875)
Pt (0.000, 0.000, 0.000)
Pt (0.500, 0.743, 0.377)
Rh (0.500, 0.752, 0.625)
Pt (0.000, 0.500, 0.500)
Pt (0.000, 0.507, 0.758)
Pt (0.000, 0.993, 0.258)
Pt (0.500, 0.243, 0.123)
Pt (0.500, 0.757, 0.877)
Pt (0.500, 0.257, 0.623)
Hf (0.000, 0.500, 0.000)
Rh (0.500, 0.248, 0.375)
Pt (0.000, 0.493, 0.242)
Hf (0.000, 0.000, 0.500)
Rh (0.500, 0.748, 0.125)
Pt (0.000, 0.007, 0.742)


Entry 8:
Compound: Pu7RuRh2
Source: Alexandria
Functional: PBE-GGA
Structure: relaxed

Values from the calculation:
VASP energy: -12.218 eV/atom

Cell: 3.008 9.465 9.465 Å, 123.08 90.00 90.00°
Site moments in Bohr magnetons follow the coordinates.
Sites, in units of the cell vectors:
Pu (0.000, 0.205, 0.795)  -4.53
Rh (0.500, 0.652, 0.348)  -0.15
Pu (0.000, 0.795, 0.205)  -4.53
Rh (0.500, 0.348, 0.652)  -0.15
Pu (0.500, 0.910, 0.694)  4.96
Pu (0.500, 0.694, 0.910)  4.96
Pu (0.500, 0.500, 0.500)  5.27
Pu (0.500, 0.090, 0.306)  4.96
Ru (0.000, 0.000, 0.000)  -0.65
Pu (0.500, 0.306, 0.090)  4.96


Entry 9:
Compound: LiIr2Ru
Source: Alexandria
Functional: PBE-GGA
Structure: relaxed

Values from the calculation:
VASP energy: -7.226 eV/atom

Cell: 4.046 2.682 5.195 Å, 73.43 90.00 90.00°
Sites, in units of the cell vectors:
Ir (0.000, 0.396, 0.488)
Ru (0.500, 0.750, 0.750)
Li (0.500, 0.250, 0.250)
Ir (0.000, 0.104, 0.012)


Entry 10:
Compound: KCrSbTe2
Source: Alexandria
Functional: PBE-GGA
Structure: relaxed

Values from the calculation:
VASP energy: -4.312 eV/atom
E_form (uncorrected): -86 meV per atom

Cell: 5.533 5.533 5.096 Å, 90.00 90.00 90.00°
Site moments in Bohr magnetons follow the coordinates.
Sites, in units of the cell vectors:
Sb (0.000, 0.000, 0.500)  -0.13
Te (0.500, 0.000, 0.000)  -0.01
Cr (0.000, 0.000, 0.000)  2.90
K (0.500, 0.500, 0.500)  0.00
Te (0.000, 0.500, 0.000)  -0.01


Entry 11:
Compound: GdScCu2
Source: Alexandria
Functional: PBE-GGA
Structure: relaxed

Values from the calculation:
VASP energy: -7.388 eV/atom

Cell: 3.353 3.353 6.866 Å, 90.00 90.00 90.00°
Site moments in Bohr magnetons follow the coordinates.
Sites, in units of the cell vectors:
Cu (0.000, 0.000, 0.214)  0.00
Gd (0.500, 0.500, 0.500)  7.10
Cu (0.000, 0.000, 0.786)  0.00
Sc (0.500, 0.500, 0.000)  -0.02


Entry 12:
Compound: HRh2Au
Source: Alexandria
Functional: PBE-GGA
Structure: relaxed

Values from the calculation:
VASP energy: -4.964 eV/atom

Cell: 2.723 2.723 6.794 Å, 90.00 90.00 90.00°
Sites, in units of the cell vectors:
Au (0.500, 0.500, 0.500)
Rh (0.000, 0.000, 0.817)
Rh (0.000, 0.000, 0.183)
H (0.500, 0.500, 0.000)


Entry 13:
Compound: Pr2SiH
Source: Alexandria
Functional: PBE-GGA
Structure: relaxed

Values from the calculation:
VASP energy: -4.956 eV/atom

Cell: 6.356 6.356 8.429 Å, 90.00 90.00 120.00°
Sites, in units of the cell vectors:
Pr (0.607, 0.709, 0.713)
Pr (0.709, 0.607, 0.287)
Pr (0.897, 0.291, 0.953)
H (0.553, 0.000, 0.833)
Si (0.407, 0.407, 0.000)
Pr (0.291, 0.897, 0.047)
Pr (0.103, 0.393, 0.380)
H (0.447, 0.447, 0.500)
Pr (0.393, 0.103, 0.620)
Si (0.000, 0.593, 0.667)
H (0.000, 0.553, 0.167)
Si (0.593, 0.000, 0.333)


Entry 14:
Compound: KBi2As2
Source: Alexandria
Functional: PBE-GGA
Structure: relaxed

Values from the calculation:
VASP energy: -3.637 eV/atom

Cell: 8.464 8.464 4.005 Å, 90.00 90.00 90.00°
Sites, in units of the cell vectors:
As (0.646, 0.146, 0.000)
As (0.354, 0.854, 0.000)
K (0.500, 0.500, 0.000)
Bi (0.359, 0.141, 0.500)
Bi (0.641, 0.859, 0.500)
K (0.000, 0.000, 0.000)
Bi (0.141, 0.641, 0.500)
As (0.854, 0.646, 0.000)
As (0.146, 0.354, 0.000)
Bi (0.859, 0.359, 0.500)


Entry 15:
Compound: SrLi12Pd6
Source: Alexandria
Functional: PBE-GGA
Structure: relaxed

Values from the calculation:
VASP energy: -3.191 eV/atom

Cell: 7.124 7.124 7.124 Å, 101.90 101.90 101.90°
Sites, in units of the cell vectors:
Pd (0.240, 0.240, 0.713)
Li (0.452, 0.172, 0.452)
Pd (0.240, 0.713, 0.240)
Li (0.500, 0.114, 0.886)
Sr (0.000, 0.000, 0.000)
Li (0.828, 0.548, 0.548)
Pd (0.713, 0.240, 0.240)
Pd (0.287, 0.760, 0.760)
Li (0.114, 0.886, 0.500)
Li (0.886, 0.114, 0.500)
Li (0.114, 0.500, 0.886)
Pd (0.760, 0.760, 0.287)
Li (0.548, 0.548, 0.828)
Pd (0.760, 0.287, 0.760)
Li (0.172, 0.452, 0.452)
Li (0.500, 0.886, 0.114)
Li (0.548, 0.828, 0.548)
Li (0.452, 0.452, 0.172)
Li (0.886, 0.500, 0.114)


Entry 16:
Compound: Pm2MgGa3Au4
Source: Alexandria
Functional: PBE-GGA
Structure: relaxed

Values from the calculation:
VASP energy: -3.969 eV/atom

Cell: 4.424 4.424 10.769 Å, 90.00 90.00 90.00°
Sites, in units of the cell vectors:
Pm (0.000, 0.500, 0.762)
Ga (0.000, 0.500, 0.131)
Au (0.000, 0.000, 0.000)
Ga (0.500, 0.000, 0.869)
Au (0.500, 0.500, 0.000)
Pm (0.500, 0.000, 0.238)
Mg (0.500, 0.500, 0.500)
Ga (0.000, 0.000, 0.500)
Au (0.500, 0.000, 0.638)
Au (0.000, 0.500, 0.362)


Entry 17:
Compound: LaAg3Au2
Source: Alexandria
Functional: PBE-GGA
Structure: relaxed

Values from the calculation:
VASP energy: -3.652 eV/atom

Cell: 4.600 7.106 8.642 Å, 107.80 105.44 90.00°
Sites, in units of the cell vectors:
Ag (0.072, 0.676, 0.144)
La (0.119, 0.175, 0.239)
Au (0.758, 0.353, 0.516)
Ag (0.622, 0.515, 0.243)
La (0.881, 0.825, 0.761)
Au (0.522, 0.827, 0.044)
Ag (0.300, 0.073, 0.601)
Ag (0.700, 0.927, 0.399)
Ag (0.928, 0.324, 0.856)
Ag (0.378, 0.485, 0.757)
Au (0.242, 0.647, 0.484)
Au (0.478, 0.173, 0.956)


Entry 18:
Compound: LiLaSe2
Source: Alexandria
Functional: PBE-GGA
Structure: relaxed

Values from the calculation:
VASP energy: -5.082 eV/atom
E_form (uncorrected): -1630 meV per atom

Cell: 7.349 7.349 7.349 Å, 32.76 32.76 32.76°
Sites, in units of the cell vectors:
Se (0.076, 0.076, 0.076)
La (0.498, 0.498, 0.498)
Se (0.253, 0.253, 0.253)
Li (0.673, 0.673, 0.673)


Entry 19:
Compound: Cs12K6Zn
Source: Alexandria
Functional: PBE-GGA
Structure: relaxed

Values from the calculation:
VASP energy: -0.908 eV/atom

Cell: 12.170 12.170 12.170 Å, 88.56 88.56 88.56°
Sites, in units of the cell vectors:
Cs (0.528, 0.433, 0.807)
Cs (0.143, 0.366, 0.037)
Cs (0.037, 0.143, 0.366)
Cs (0.472, 0.567, 0.193)
Cs (0.433, 0.807, 0.528)
Cs (0.807, 0.528, 0.433)
K (0.898, 0.242, 0.757)
Cs (0.193, 0.472, 0.567)
K (0.758, 0.243, 0.102)
K (0.757, 0.898, 0.242)
Cs (0.567, 0.193, 0.472)
Cs (0.857, 0.634, 0.963)
K (0.102, 0.758, 0.243)
Zn (0.000, 0.000, 0.000)
K (0.242, 0.757, 0.898)
K (0.243, 0.102, 0.758)
Cs (0.963, 0.857, 0.634)
Cs (0.366, 0.037, 0.143)
Cs (0.634, 0.963, 0.857)


Entry 20:
Compound: GaSn2Sb2Au7
Source: Alexandria
Functional: PBE-GGA
Structure: relaxed

Values from the calculation:
VASP energy: -3.567 eV/atom
E_form (uncorrected): -49 meV per atom

Cell: 4.130 4.130 16.747 Å, 82.98 82.98 90.02°
Sites, in units of the cell vectors:
Sn (0.624, 0.624, 0.757)
Au (0.500, 0.500, 0.000)
Au (0.293, 0.293, 0.408)
Au (0.067, 0.567, 0.871)
Sb (0.784, 0.784, 0.426)
Sb (0.216, 0.216, 0.574)
Au (0.567, 0.067, 0.871)
Sn (0.376, 0.376, 0.243)
Au (0.433, 0.933, 0.129)
Ga (0.000, 0.000, 0.000)
Au (0.933, 0.433, 0.129)
Au (0.707, 0.707, 0.592)


Entry 21:
Compound: CaS2F
Source: Alexandria
Functional: PBE-GGA
Structure: relaxed

Values from the calculation:
VASP energy: -2.600 eV/atom
E_form (uncorrected): 432 meV per atom

Cell: 8.760 8.760 8.760 Å, 21.50 21.50 21.50°
Sites, in units of the cell vectors:
S (0.901, 0.901, 0.901)
S (0.099, 0.099, 0.099)
Ca (0.000, 0.000, 0.000)
F (0.500, 0.500, 0.500)


Entry 22:
Compound: TaHgPt2
Source: Alexandria
Functional: PBE-GGA
Structure: relaxed

Values from the calculation:
VASP energy: -6.146 eV/atom

Cell: 2.926 2.926 8.135 Å, 90.00 90.00 90.00°
Sites, in units of the cell vectors:
Ta (0.000, 0.000, 0.479)
Hg (0.500, 0.500, 0.755)
Pt (0.500, 0.500, 0.257)
Pt (0.000, 0.000, 0.008)


Entry 23:
Compound: LiEuTlSb
Source: Alexandria
Functional: PBE-GGA
Structure: relaxed

Values from the calculation:
VASP energy: -5.160 eV/atom
E_form (uncorrected): -491 meV per atom

Cell: 5.353 5.353 5.353 Å, 60.00 60.00 60.00°
Site moments in Bohr magnetons follow the coordinates.
Sites, in units of the cell vectors:
Eu (0.250, 0.250, 0.250)  6.83
Tl (0.500, 0.500, 0.500)  0.03
Li (0.750, 0.750, 0.750)  0.00
Sb (0.000, 0.000, 0.000)  -0.03


Entry 24:
Compound: Zr2V2Co
Source: Alexandria
Functional: PBE-GGA
Structure: relaxed

Values from the calculation:
VASP energy: -8.379 eV/atom

Cell: 6.229 6.229 4.368 Å, 90.00 90.00 90.00°
Sites, in units of the cell vectors:
Zr (0.672, 0.828, 0.500)
V (0.143, 0.357, 0.000)
Co (0.000, 0.000, 0.000)
Zr (0.328, 0.172, 0.500)
V (0.643, 0.143, 0.000)
V (0.857, 0.643, 0.000)
Zr (0.172, 0.672, 0.500)
V (0.357, 0.857, 0.000)
Zr (0.828, 0.328, 0.500)
Co (0.500, 0.500, 0.000)